# 1
## NpZnFe (GGA-PBE)

Data for a geometry-optimized NpZnFe structure.

Cell: 7.6823 7.6823 4.6543 Å, 90.00 90.00 158.66°
With the nearest neighbours (Å) after each atom.
Atoms (fractional coordinates):
Np 0.0920 0.9080 0.7500  6 Fe 2.74-2.76, 2 Np 2.84, 2 Zn 3.01
Np 0.9080 0.0920 0.2500  6 Fe 2.74-2.76, 2 Np 2.84, 2 Zn 3.01
Zn 0.2183 0.7817 0.2500  2 Fe 2.74, 6 Zn 2.84-2.89, 2 Np 3.01
Zn 0.7817 0.2183 0.7500  2 Fe 2.74, 6 Zn 2.84-2.89, 2 Np 3.01
Fe 0.4367 0.5633 0.7500  2 Zn 2.74, 6 Np 2.74-2.76, 4 Fe 2.84-3.01
Fe 0.5633 0.4367 0.2500  2 Zn 2.74, 6 Np 2.74-2.76, 4 Fe 2.84-3.01

Magnetic moment: 4.6 μB/cell
Total DFT energy (no corrections): -44.5 eV per cell
Fermi-level density of states: 1.605 states/eV/atom
ΔE_f: 146 meV/atom

***

# 2
## NpZnFe (GGA-PBE)

Data for a geometry-optimized NpZnFe structure.

Cell: 5.9070 5.9070 5.9070 Å, 150.55 150.55 42.14°
With the nearest neighbours (Å) after each atom.
Atoms (fractional coordinates):
Np 0.0000 0.0000 0.0000  4 Fe 2.69, 4 Np 3.00
Zn 0.7144 0.7144 0.0000  4 Fe 2.60
Fe 0.3509 0.3509 0.0000  4 Zn 2.60, 4 Np 2.69

Magnetic moment: 2.0 μB/cell
Total DFT energy (no corrections): -22.2 eV per cell
Fermi-level density of states: 1.505 states/eV/atom
ΔE_f: 146 meV/atom

***

# 3
## NpZnFe2 (GGA-PBE)

Data for a geometry-optimized NpZnFe2 structure.

Cell: 4.1641 4.1641 3.3159 Å, 90.00 90.00 90.00°
With the nearest neighbours (Å) after each atom.
Atoms (fractional coordinates):
Np 0.0000 0.0000 0.0000  8 Fe 2.66, 4 Zn 2.94
Zn 0.5000 0.5000 0.0000  8 Fe 2.66, 4 Np 2.94
Fe 0.0000 0.5000 0.5000  4 Np 2.66, 4 Zn 2.66, 4 Fe 2.94
Fe 0.5000 0.0000 0.5000  4 Np 2.66, 4 Zn 2.66, 4 Fe 2.94

Magnetic moment: 1.1 μB/cell
Total DFT energy (no corrections): -30.8 eV per cell
Fermi-level density of states: 1.201 states/eV/atom
ΔE_f: 97 meV/atom

***

# 4
## Zr3NpFe8 (GGA-PBE)

Data for a geometry-optimized Zr3NpFe8 structure.

Cell: 8.6850 8.6850 8.6850 Å, 33.23 33.23 33.23°
With the nearest neighbours (Å) after each atom.
Atoms (fractional coordinates):
Zr 0.0000 0.0000 0.0000  12 Fe 2.90-2.92, 4 Zr 3.05-3.07
Zr 0.1249 0.1249 0.1249  12 Fe 2.91-2.96, 3 Np 3.05, 1 Zr 3.07
Zr 0.6244 0.6244 0.6244  12 Fe 2.90-2.91, 3 Zr 3.05, 1 Np 3.06
Np 0.5001 0.5001 0.5001  12 Fe 2.92-2.98, 4 Zr 3.05-3.06
Fe 0.0590 0.5613 0.5613  6 Fe 2.47-2.52
Fe 0.0632 0.0632 0.5636  6 Fe 2.48-2.53
Fe 0.0632 0.5636 0.0632  6 Fe 2.48-2.53
Fe 0.3122 0.3122 0.3122  6 Fe 2.47-2.48
Fe 0.5613 0.0590 0.5613  6 Fe 2.47-2.52
Fe 0.5613 0.5613 0.0590  6 Fe 2.47-2.52
Fe 0.5636 0.0632 0.0632  6 Fe 2.48-2.53
Fe 0.8118 0.8118 0.8118  6 Fe 2.52-2.53

Magnetic moment: 8.5 μB/cell
Total DFT energy (no corrections): -108.4 eV per cell
Fermi-level density of states: 1.385 states/eV/atom
ΔE_f: -176 meV/atom

***

# 5
## ZrNpFe4 (GGA-PBE)

Data for a geometry-optimized ZrNpFe4 structure.

Cell: 4.9969 4.9969 4.9969 Å, 60.00 60.00 60.00°
With the nearest neighbours (Å) after each atom.
Atoms (fractional coordinates):
Zr 0.0000 0.0000 0.0000  12 Fe 2.93, 4 Np 3.06
Np 0.2500 0.2500 0.2500  12 Fe 2.93, 4 Zr 3.06
Fe 0.1246 0.6251 0.6251  6 Fe 2.50
Fe 0.6251 0.1246 0.6251  6 Fe 2.50
Fe 0.6251 0.6251 0.1246  6 Fe 2.50
Fe 0.6251 0.6251 0.6251  6 Fe 2.50

Magnetic moment: 2.6 μB/cell
Total DFT energy (no corrections): -55.7 eV per cell
Excess energy over the best structure of this formula in the dataset: 0.0000 eV/atom
Fermi-level density of states: 2.079 states/eV/atom
ΔE_f: -56 meV/atom

***

# 6
## Zr2NpFe (GGA-PBE)

Data for a geometry-optimized Zr2NpFe structure.

Cell: 5.0714 5.0714 3.0277 Å, 90.00 90.00 90.00°
With the nearest neighbours (Å) after each atom.
Atoms (fractional coordinates):
Zr 0.0000 0.5000 0.0000  4 Fe 2.95, 4 Np 2.95, 2 Zr 3.03
Zr 0.5000 0.0000 0.0000  4 Fe 2.95, 4 Np 2.95, 2 Zr 3.03
Np 0.0000 0.0000 0.5000  8 Zr 2.95, 2 Np 3.03
Fe 0.5000 0.5000 0.5000  8 Zr 2.95, 2 Fe 3.03

Magnetic moment: 5.3 μB/cell
Total DFT energy (no corrections): -37.2 eV per cell
Excess energy over the best structure of this formula in the dataset: 0.1879 eV/atom
Fermi-level density of states: 1.977 states/eV/atom
ΔE_f: 332 meV/atom

***

# 7
## Zr2NpFe (GGA-PBE)

Data for a geometry-optimized Zr2NpFe structure.

Cell: 3.1609 3.1609 7.8220 Å, 90.00 90.00 90.00°
With the nearest neighbours (Å) after each atom.
Atoms (fractional coordinates):
Zr 0.0000 0.0000 0.2042  4 Fe 2.75
Zr 0.0000 0.0000 0.7958  4 Fe 2.75
Np 0.5000 0.5000 0.5000  4 Np 3.16, 8 Zr 3.22
Fe 0.5000 0.5000 0.0000  8 Zr 2.75

Magnetic moment: 4.3 μB/cell
Total DFT energy (no corrections): -37.9 eV per cell
Excess energy over the best structure of this formula in the dataset: 0.0000 eV/atom
Fermi-level density of states: 1.930 states/eV/atom
ΔE_f: 144 meV/atom

***

# 8
## ZrNpFe4 (GGA-PBE)

Data for a geometry-optimized ZrNpFe4 structure.

Cell: 4.8458 4.8458 8.3904 Å, 90.00 90.00 120.00°
With the nearest neighbours (Å) after each atom.
Atoms (fractional coordinates):
Zr 0.3333 0.6667 0.4288  12 Fe 2.81-2.97, 3 Zr 3.04
Zr 0.6667 0.3333 0.5712  12 Fe 2.81-2.97, 3 Zr 3.04
Np 0.3333 0.6667 0.0411  12 Fe 2.82-3.04, 3 Np 2.88
Np 0.6667 0.3333 0.9589  12 Fe 2.82-3.04, 3 Np 2.88
Fe 0.0000 0.0000 0.0000  6 Fe 2.59, 6 Np 2.82
Fe 0.0000 0.0000 0.5000  6 Fe 2.46
Fe 0.1667 0.3334 0.7409  6 Fe 2.42-2.59
Fe 0.1667 0.8333 0.7409  6 Fe 2.42-2.59
Fe 0.3334 0.1667 0.2591  6 Fe 2.42-2.59
Fe 0.6666 0.8333 0.7409  6 Fe 2.42-2.59
Fe 0.8333 0.1667 0.2591  6 Fe 2.42-2.59
Fe 0.8333 0.6666 0.2591  6 Fe 2.42-2.59

Magnetic moment: 13.4 μB/cell
Total DFT energy (no corrections): -111.2 eV per cell
Excess energy over the best structure of this formula in the dataset: 0.0101 eV/atom
Fermi-level density of states: 1.659 states/eV/atom
ΔE_f: -46 meV/atom

***

Q: Number 4 is which compound?
A: Zr3NpFe8

***

Q: Among the records above, which one has the lowest total DFT energy (no corrections)?
A: number 8

***

What did the first record say?
## NpZnFe (GGA-PBE)

Data for a geometry-optimized NpZnFe structure.

Cell: 7.6823 7.6823 4.6543 Å, 90.00 90.00 158.66°
With the nearest neighbours (Å) after each atom.
Atoms (fractional coordinates):
Np 0.0920 0.9080 0.7500  6 Fe 2.74-2.76, 2 Np 2.84, 2 Zn 3.01
Np 0.9080 0.0920 0.2500  6 Fe 2.74-2.76, 2 Np 2.84, 2 Zn 3.01
Zn 0.2183 0.7817 0.2500  2 Fe 2.74, 6 Zn 2.84-2.89, 2 Np 3.01
Zn 0.7817 0.2183 0.7500  2 Fe 2.74, 6 Zn 2.84-2.89, 2 Np 3.01
Fe 0.4367 0.5633 0.7500  2 Zn 2.74, 6 Np 2.74-2.76, 4 Fe 2.84-3.01
Fe 0.5633 0.4367 0.2500  2 Zn 2.74, 6 Np 2.74-2.76, 4 Fe 2.84-3.01

Magnetic moment: 4.6 μB/cell
Total DFT energy (no corrections): -44.5 eV per cell
Fermi-level density of states: 1.605 states/eV/atom
ΔE_f: 146 meV/atom